Compound: LiTlHg4
Source: Alexandria via LeMat-Bulk
Functional: PBE
Structure: optimized geometry

## Properties
Space-group type ... P4/mmm
DOS at the Fermi energy ... 1.52 states/eV per cell
E_tot ... -5.9 eV for the cell shown
Offset from the most stable computed form ... 0.055 eV/atom
Energy of formation ... -0.07 eV per atom
Total magnetic moment ... 0.00 Bohr magnetons per cell

Cell lengths 4.617, 4.617, 7.718 Å; angles 89.98, 89.99, 90.00 degrees
Fractional positions:
Hg 0.001 0.497 0.289
Hg 0.001 0.497 0.708
Hg 0.501 0.997 0.708
Hg 0.501 0.997 0.289
Li 0.001 0.997 0.498
Tl 0.501 0.497 0.998